1.
Below is a relaxed structure of Tm2AlIr, with properties calculated at the PBE level.

It has space group R-3m (No. 166, hexagonal axes), with a = 3.7723 Å, b = 3.7723 Å, c = 23.8066 Å, α = 90.00°, β = 90.00° and γ = 120.00°. Symmetry generates all atoms from Tm at (0.0000, 0.0000, 0.2367), Al at (0.0000, 0.0000, 0.0000) and Ir at (0.0000, 0.0000, 0.5000).

Its formation enthalpy at 0 K is -37 kJ/mol of atoms.

=====

2.
Below is a relaxed structure of Tc2AsW2, with properties calculated at the PBE level.

It has space group I4/mmm (No. 139), with a = 3.958 Å, b = 3.958 Å, c = 11.806 Å, α = 90.00°, β = 90.00° and γ = 90.00°. Symmetry generates all atoms from Tc at (0.000, 0.500, 0.250), As at (0.000, 0.000, 0.000) and W at (0.000, 0.000, 0.383).

The value obtained for the relative energy among the computed polymorphs is 0.2737 eV per atom. Its formation enthalpy at 0 K is 68 kJ/mol of atoms.

=====

3.
Below is a relaxed structure of SmY3Er6Th2, with properties calculated at the PBE level.

It has space group C2/m (No. 12), with a = 6.160 Å, b = 10.661 Å, c = 11.708 Å, α = 90.00°, β = 100.11° and γ = 90.00°. Symmetry generates all atoms from Sm at (0.000, 0.000, 0.000), Y at (0.000, 0.166, 0.500), Y at (0.000, 0.500, 0.500), Er at (0.245, 0.500, 0.248), Er at (0.248, 0.331, 0.752) and Th at (0.000, 0.333, 0.000).

Its formation enthalpy at 0 K is 3 kJ/mol of atoms.

=====

4.
Below is a relaxed structure of Pr3MgGe, with properties calculated at the PBE level.

It has space group P-1 (No. 2), with a = 4.208 Å, b = 7.381 Å, c = 10.174 Å, α = 88.08°, β = 89.93° and γ = 73.50°. Symmetry generates all atoms from Pr at (0.051, 0.398, 0.148), Pr at (0.242, 0.018, 0.830), Pr at (0.426, 0.647, 0.362), Mg at (0.182, 0.137, 0.428) and Ge at (0.393, 0.716, 0.067).

Its formation enthalpy at 0 K is -30 kJ/mol of atoms.

=====

5.
Below is a relaxed structure of Pa2BiAs, with properties calculated at the PBE level.

It has space group P4/mmm (No. 123), with a = 3.637 Å, b = 3.637 Å, c = 7.471 Å, α = 90.00°, β = 90.00° and γ = 90.00°. Symmetry generates all atoms from Pa at (0.000, 0.000, 0.228), Bi at (0.500, 0.500, 0.500) and As at (0.500, 0.500, 0.000).

The value obtained for the relative energy among the computed polymorphs is 0.1370 eV per atom. Its formation enthalpy at 0 K is -41 kJ/mol of atoms.

=====

6.
Below is a relaxed structure of BaCo3Ru, with properties calculated at the PBE level.

It has space group Pm-3m (No. 221), with a = 4.707 Å, b = 4.707 Å, c = 4.707 Å, α = 90.00°, β = 90.00° and γ = 90.00°. Symmetry generates all atoms from Ba at (0.000, 0.000, 0.000), Co at (0.000, 0.000, 0.500) and Ru at (0.500, 0.500, 0.500).

The value obtained for the relative energy among the computed polymorphs is 1.7296 eV per atom. Its formation enthalpy at 0 K is 249 kJ/mol of atoms.

=====

7.
Below is a relaxed structure of NaGe2As3, with properties calculated at the PBE level.

It has space group C2/m (No. 12), with a = 22.434 Å, b = 3.955 Å, c = 7.548 Å, α = 90.00°, β = 109.16° and γ = 90.00°. Symmetry generates all atoms from Na at (0.156, 0.000, 0.448), Ge at (0.043, 0.500, 0.871), Ge at (0.190, 0.000, 0.965), As at (0.072, 0.500, 0.211), As at (0.083, 0.000, 0.732) and As at (0.221, 0.500, 0.182).

Its formation enthalpy at 0 K is -8 kJ/mol of atoms.

=====

8.
Below is a relaxed structure of BaLiAg2, with properties calculated at the PBE level.

It has space group R-3m (No. 166, hexagonal axes), with a = 4.7356 Å, b = 4.7356 Å, c = 17.2387 Å, α = 90.00°, β = 90.00° and γ = 120.00°. Symmetry generates all atoms from Ba at (0.0000, 0.0000, 0.0000), Li at (0.0000, 0.0000, 0.5000) and Ag at (0.0000, 0.0000, 0.1992).

The value obtained for the relative energy among the computed polymorphs is 0.0000 eV per atom. Its formation enthalpy at 0 K is -24 kJ/mol of atoms.

=====

9.
Below is a relaxed structure of Ag3HgCl6, with properties calculated at the PBE level.

It has space group P2_1/c (No. 14), with a = 7.086 Å, b = 7.166 Å, c = 11.838 Å, α = 90.00°, β = 114.81° and γ = 90.00°. Symmetry generates all atoms from Ag at (0.000, 0.000, 0.000), Ag at (0.142, 0.103, 0.665), Hg at (0.500, 0.000, 0.500), Cl at (0.067, 0.077, 0.235), Cl at (0.212, 0.698, 0.073) and Cl at (0.409, 0.236, 0.093).

The value obtained for the relative energy among the computed polymorphs is 0.0000 eV per atom. The energy relative to the elements, uncorrected comes out at -0.4421 eV per atom.

=====

| no. | spin magnetization (μB/f.u.) | total energy (eV per cell) |
| --- | --- | --- |
| 1 | 0.00 | -69.3 |
| 2 | 0.00 | -95.5 |
| 3 | 0.00 | -131.9 |
| 4 | 0.00 | -44.3 |
| 5 | 1.31 | -29.2 |
| 6 | 5.05 | -19.6 |
| 7 | 0.00 | -100.0 |
| 8 | 0.00 | -31.6 |
| 9 | 0.00 | -48.7 |